A crystal of InSiPt2 relaxed with PBEsol, computed with meta-GGA SCAN.

Formation energy from raw total energies (eV per atom): 0.046
Magnetic moment (μB per formula unit): 0.00

Cell: 4.5211 4.5211 4.5211 Å, 60.00 60.00 60.00°
Closest atoms and distances in Å follow each position.
Sites, in units of the cell vectors:
1 In 0.0000 0.0000 0.0000  4 Pt 2.77, 4 Si 2.77
2 Si 0.2500 0.2500 0.2500  4 In 2.77, 4 Pt 2.77
3 Pt 0.5000 0.5000 0.5000  4 Pt 2.77, 4 Si 2.77
4 Pt 0.7500 0.7500 0.7500  4 In 2.77, 4 Pt 2.77